VASP calculation (PBE) on Hg2PIr after structural relaxation.

The structure in POSCAR format:
```
Hg2PIr
1.0
6.643 0.000 0.000
0.000 6.643 0.000
0.000 0.000 6.643
Hg P Ir
8 4 4
Direct
0.000 0.000 0.000 Hg
0.000 0.500 0.500 Hg
0.250 0.250 0.250 Hg
0.250 0.750 0.750 Hg
0.500 0.000 0.500 Hg
0.500 0.500 0.000 Hg
0.750 0.250 0.750 Hg
0.750 0.750 0.250 Hg
0.250 0.250 0.750 P
0.250 0.750 0.250 P
0.750 0.250 0.250 P
0.750 0.750 0.750 P
0.000 0.000 0.500 Ir
0.000 0.500 0.000 Ir
0.500 0.000 0.000 Ir
0.500 0.500 0.500 Ir
```

Values from the calculation:
total DFT energy (no corrections)	-47.7	eV per cell
energy of formation from the pure elements	70.9	kJ/mol of atoms
mass density	14.15	g/cm3

---

VASP calculation (PBE) on HgPIr2 after structural relaxation.

The structure in POSCAR format:
```
HgPIr2
1.0
2.890 0.000 0.000
0.000 4.528 0.000
0.000 0.000 4.979
Hg P Ir
1 1 2
Direct
0.000 0.000 0.000 Hg
0.500 0.000 0.500 P
0.000 0.500 0.500 Ir
0.500 0.500 0.000 Ir
```

Values from the calculation:
total DFT energy (no corrections)	-20.8	eV per cell
energy of formation from the pure elements	63.3	kJ/mol of atoms
mass density	15.70	g/cm3
energy above the most stable polymorph in this dataset	61.1	kJ/mol of atoms

---

Repeat the second record exactly.
VASP calculation (PBE) on HgPIr2 after structural relaxation.

The structure in POSCAR format:
```
HgPIr2
1.0
2.890 0.000 0.000
0.000 4.528 0.000
0.000 0.000 4.979
Hg P Ir
1 1 2
Direct
0.000 0.000 0.000 Hg
0.500 0.000 0.500 P
0.000 0.500 0.500 Ir
0.500 0.500 0.000 Ir
```

Values from the calculation:
total DFT energy (no corrections)	-20.8	eV per cell
energy of formation from the pure elements	63.3	kJ/mol of atoms
mass density	15.70	g/cm3
energy above the most stable polymorph in this dataset	61.1	kJ/mol of atoms

---

Among the records above, which one has the lowest energy of formation from the pure elements?
HgPIr2

---

Number 2 is which compound?
HgPIr2